VASP calculation (PBE) on an optimized crystal structure of Sr12Ga3Hg5.

The structure in extended XYZ format:
```
80
Lattice="-9.5803 9.5803 9.5803 9.5803 -9.5803 9.5803 9.5803 9.5803 -9.5803" Properties=species:S:1:pos:R:3 pbc="T T T"
Sr 2.8731 -0.3689 1.4650
Sr 11.4974 6.2551 -5.1591
Sr 9.2114 -1.4650 2.8731
Sr 14.7394 -1.9171 3.3252
Sr 12.4534 0.3689 1.4650
Sr 11.4974 -3.3252 5.1591
Sr 1.4650 2.8731 -0.3689
Sr 12.9055 4.4213 -1.9171
Sr 6.2551 5.1591 -1.9171
Sr 8.1153 2.8731 0.3689
Sr -0.3689 1.4650 2.8731
Sr 5.1591 -1.9171 6.2551
Sr 9.2114 8.1153 -2.8731
Sr 5.1591 1.9171 3.3252
Sr 8.1153 -2.8731 9.2114
Sr 6.2551 -5.1591 11.4974
Sr 3.3252 5.1591 1.9171
Sr 11.0453 6.7073 0.3689
Sr 2.8731 9.2114 -1.4650
Sr 11.4974 3.3252 4.4213
Sr 5.1591 11.4974 -3.3252
Sr 9.2114 1.4650 6.7073
Sr 1.9171 3.3252 5.1591
Sr 2.8731 0.3689 8.1153
Sr 6.7073 9.2114 1.4650
Sr 7.6632 6.2551 4.4213
Sr 0.3689 8.1153 2.8731
Sr 4.4213 -1.9171 12.9055
Sr -1.9171 6.2551 5.1591
Sr 6.7073 0.3689 11.0453
Sr -1.4650 2.8731 9.2114
Sr 6.2551 4.4213 7.6632
Sr 3.3252 14.7394 -1.9171
Sr 1.4650 12.4534 0.3689
Sr 4.4213 7.6632 6.2551
Sr 0.3689 1.4650 12.4534
Sr 4.4213 11.4974 3.3252
Sr 9.9492 8.1153 6.7073
Sr 1.4650 6.7073 9.2114
Sr 3.3252 4.4213 11.4974
Sr -3.3252 5.1591 11.4974
Sr 8.1153 6.7073 9.9492
Sr -1.9171 12.9055 4.4213
Sr -2.8731 9.2114 8.1153
Sr -5.1591 11.4974 6.2551
Sr 0.3689 11.0453 6.7073
Sr -1.9171 3.3252 14.7394
Sr 6.7073 9.9492 8.1153
Ga 4.7902 2.3951 0.0000
Ga 9.5803 4.7902 -2.3951
Ga 2.3951 0.0000 4.7902
Ga 11.9754 0.0000 4.7902
Ga 0.0000 4.7902 2.3951
Ga 4.7902 -2.3951 9.5803
Ga 4.7902 11.9754 0.0000
Ga 9.5803 4.7902 7.1852
Ga -2.3951 9.5803 4.7902
Ga 7.1852 9.5803 4.7902
Ga 0.0000 4.7902 11.9754
Ga 4.7902 7.1852 9.5803
Hg 0.0000 0.0000 0.0000
Hg 4.7902 4.7902 -4.7902
Hg 4.7902 -4.7902 4.7902
Hg 9.5803 0.0000 0.0000
Hg 14.3705 2.3951 0.0000
Hg 9.5803 -4.7902 7.1852
Hg 7.1852 9.5803 -4.7902
Hg 7.1852 0.0000 4.7902
Hg 4.7902 7.1852 0.0000
Hg 9.5803 4.7902 2.3951
Hg -4.7902 4.7902 4.7902
Hg 0.0000 9.5803 0.0000
Hg 0.0000 0.0000 9.5803
Hg 4.7902 4.7902 4.7902
Hg 0.0000 4.7902 7.1852
Hg 4.7902 2.3951 9.5803
Hg 2.3951 9.5803 4.7902
Hg 2.3951 0.0000 14.3705
Hg 0.0000 14.3705 2.3951
Hg -4.7902 7.1852 9.5803
```

Summary:
The value obtained for the formation energy is -0.131 eV/atom. The crystal system is cubic. The total energy comes out at -1.670 eV per atom.

---

VASP calculation (PBE) on an optimized crystal structure of Sr4GaHg3.

The structure in extended XYZ format:
```
16
Lattice="16.8540 0.0000 0.0000 0.0000 5.6561 0.0000 -1.8878 0.0000 5.3318" Properties=species:S:1:pos:R:3 pbc="T T T"
Sr 1.8414 0.0000 0.6556
Sr 0.8977 2.8281 3.3213
Sr 5.6416 0.0000 2.0104
Sr 4.6979 2.8281 4.6762
Sr 9.3247 0.0000 3.3213
Sr 10.2683 2.8281 0.6556
Sr 13.1249 0.0000 4.6762
Sr 14.0685 2.8281 2.0104
Ga -0.9439 0.0000 2.6659
Ga 7.4831 2.8281 2.6659
Hg 0.0000 2.8281 0.0000
Hg 2.7571 0.0000 3.9866
Hg 3.7821 2.8281 1.3452
Hg 8.4270 0.0000 0.0000
Hg 11.1841 2.8281 3.9866
Hg 12.2091 0.0000 1.3452
```

Summary:
The value obtained for the formation energy is -0.494 eV/atom. The crystal system is monoclinic. The total energy comes out at -1.826 eV per atom.

---

VASP calculation (PBE) on an optimized crystal structure of Sr3Ga2Hg3.

The structure in extended XYZ format:
```
16
Lattice="2.3958 -5.9223 0.0000 2.3958 5.9223 0.0000 0.0000 0.0000 16.2387" Properties=species:S:1:pos:R:3 pbc="T T T"
Sr 2.3958 4.8596 9.7936
Sr 2.3958 4.8596 14.5645
Sr 2.3958 1.4873 12.1791
Sr 2.3958 -1.4873 4.0597
Sr 2.3958 -4.8596 1.6742
Sr 2.3958 -4.8596 6.4451
Ga 2.3958 3.5000 1.6408
Ga 2.3958 3.5000 6.4786
Ga 2.3958 -3.5000 9.7601
Ga 2.3958 -3.5000 14.5980
Hg 2.3958 1.8960 4.0597
Hg 2.3958 1.4179 8.8038
Hg 2.3958 1.4179 15.5543
Hg 2.3958 -1.4179 0.6844
Hg 2.3958 -1.4179 7.4349
Hg 2.3958 -1.8960 12.1791
```

Summary:
The value obtained for the formation energy is -0.465 eV/atom. The crystal system is orthorhombic. The total energy comes out at -1.966 eV per atom.

---

VASP calculation (PBE) on an optimized crystal structure of SrGaHg2.

The structure in extended XYZ format:
```
16
Lattice="5.0806 0.0000 0.0000 0.0000 5.0806 0.0000 0.0000 0.0000 19.3018" Properties=species:S:1:pos:R:3 pbc="T T T"
Sr 0.0000 0.0000 0.0000
Sr 0.0000 2.5403 4.8255
Sr 2.5403 0.0000 14.4764
Sr 2.5403 2.5403 9.6509
Ga 0.0000 0.0000 9.6509
Ga 0.0000 2.5403 14.4764
Ga 2.5403 0.0000 4.8255
Ga 2.5403 2.5403 0.0000
Hg 0.7752 1.2701 12.0636
Hg 1.2701 3.3155 16.8891
Hg 1.2701 4.3054 7.2382
Hg 1.7651 1.2701 2.4127
Hg 3.3155 3.8104 2.4127
Hg 3.8104 0.7752 7.2382
Hg 3.8104 1.7651 16.8891
Hg 4.3054 3.8104 12.0636
```

Summary:
The value obtained for the formation energy is -0.184 eV/atom. The crystal system is tetragonal. The total energy comes out at -1.512 eV per atom.

---

VASP calculation (PBE) on an optimized crystal structure of SrGaHg2.

The structure in extended XYZ format:
```
16
Lattice="2.4016 -9.0014 0.0000 2.4016 9.0014 0.0000 0.0000 0.0000 9.8785" Properties=species:S:1:pos:R:3 pbc="T T T"
Sr 0.0000 0.0000 0.0000
Sr 0.0000 0.0000 4.9393
Sr 2.4016 5.2728 7.4089
Sr 2.4016 -5.2728 2.4696
Ga 2.4016 2.6823 0.1845
Ga 2.4016 2.6823 4.7547
Ga 2.4016 -2.6823 5.1238
Ga 2.4016 -2.6823 9.6940
Hg 2.4016 5.6059 0.9330
Hg 2.4016 5.6059 4.0063
Hg 2.4016 1.6639 7.4089
Hg 2.4016 1.2069 2.4696
Hg 2.4016 -1.2069 7.4089
Hg 2.4016 -1.6639 2.4696
Hg 2.4016 -5.6059 5.8722
Hg 2.4016 -5.6059 8.9456
```

Summary:
The value obtained for the formation energy is -0.381 eV/atom. The crystal system is orthorhombic. The total energy comes out at -1.709 eV per atom.

---

VASP calculation (PBE) on an optimized crystal structure of SrGa2Hg.

The structure in extended XYZ format:
```
12
Lattice="4.5656 0.0000 0.0000 -2.2828 3.9539 0.0000 0.0000 0.0000 17.1629" Properties=species:S:1:pos:R:3 pbc="T T T"
Sr 0.0000 0.0000 0.0000
Sr 0.0000 2.6359 11.4419
Sr 2.2828 1.3180 5.7209
Ga 0.0000 0.0000 3.7786
Ga 0.0000 0.0000 13.3843
Ga 0.0000 2.6359 7.6633
Ga 0.0000 2.6359 15.2205
Ga 2.2828 1.3180 1.9424
Ga 2.2828 1.3180 9.4995
Hg 0.0000 0.0000 8.5814
Hg 0.0000 2.6359 2.8605
Hg 2.2828 1.3180 14.3024
```

Summary:
The value obtained for the formation energy is -0.302 eV/atom. The crystal system is trigonal. The total energy comes out at -2.311 eV per atom.

---

VASP calculation (PBE) on an optimized crystal structure of SrGaHg2.

The structure in extended XYZ format:
```
12
Lattice="4.7423 0.0000 0.0000 -2.3712 4.1070 0.0000 0.0000 0.0000 17.5083" Properties=species:S:1:pos:R:3 pbc="T T T"
Sr 0.0000 0.0000 0.0000
Sr 0.0000 2.7380 11.6722
Sr 2.3712 1.3690 5.8361
Ga 0.0000 0.0000 14.1059
Ga 0.0000 2.7380 8.2698
Ga 2.3712 1.3690 2.4337
Hg 0.0000 0.0000 3.8664
Hg 0.0000 0.0000 7.7874
Hg 0.0000 2.7380 1.9513
Hg 0.0000 2.7380 15.5386
Hg 2.3712 1.3690 9.7025
Hg 2.3712 1.3690 13.6235
```

Summary:
The value obtained for the formation energy is -0.330 eV/atom. The crystal system is trigonal. The total energy comes out at -1.658 eV per atom.

---

VASP calculation (PBE) on an optimized crystal structure of Sr2Ga3Hg.

The structure in extended XYZ format:
```
6
Lattice="4.3541 0.0000 0.0000 0.0000 4.5944 0.0000 0.0000 0.0000 8.0551" Properties=species:S:1:pos:R:3 pbc="T T T"
Sr 0.0000 0.0000 0.0000
Sr 0.0000 2.2972 3.9614
Ga 2.1770 0.0000 2.6623
Ga 2.1770 0.0000 5.2407
Ga 2.1770 2.2972 1.3686
Hg 2.1770 2.2972 6.6801
```

Summary:
The value obtained for the formation energy is -0.460 eV/atom. The crystal system is orthorhombic. For the energy above the most stable polymorph in this dataset, the calculation gives 12.8 meV per atom. The total energy comes out at -2.584 eV per atom.